Entry 1:
{
  "formula": "Ac2Mg9Hg6",
  "functional": "GGA-PBE",
  "state": "relaxed",
  "lattice_angstrom": [[6.151, 0.000, 0.000], [-3.076, 5.327, 0.000], [0.000, 0.000, 14.130]],
  "species": ["Ac", "Ac", "Mg", "Mg", "Mg", "Mg", "Mg", "Mg", "Mg", "Mg", "Mg", "Hg", "Hg", "Hg", "Hg", "Hg", "Hg"],
  "fractional_positions": [[0.000, 0.000, 0.157], [0.000, 0.000, 0.843], [0.000, 0.500, 0.000], [0.000, 0.500, 0.338], [0.000, 0.500, 0.662], [0.500, 0.000, 0.000], [0.500, 0.000, 0.338], [0.500, 0.000, 0.662], [0.500, 0.500, 0.000], [0.500, 0.500, 0.338], [0.500, 0.500, 0.662], [0.333, 0.667, 0.169], [0.333, 0.667, 0.500], [0.333, 0.667, 0.831], [0.667, 0.333, 0.169], [0.667, 0.333, 0.500], [0.667, 0.333, 0.831]],
  "vol_a3_per_atom": 27.24,
  "crystal_system": "hexagonal",
  "delta_e_f_ev_per_atom": -0.1769
}

Entry 2:
{
  "formula": "DySi2Au4",
  "functional": "GGA-PBE",
  "state": "relaxed",
  "lattice_angstrom": [[2.181, -6.828, 0.000], [2.181, 6.828, 0.000], [0.000, 0.000, 4.382]],
  "species": ["Dy", "Si", "Si", "Au", "Au", "Au", "Au"],
  "fractional_positions": [[0.000, 0.000, 0.000], [0.415, 0.585, 0.500], [0.585, 0.415, 0.500], [0.172, 0.828, 0.500], [0.329, 0.671, 0.000], [0.671, 0.329, 0.000], [0.828, 0.172, 0.500]],
  "vol_a3_per_atom": 18.65,
  "crystal_system": "orthorhombic",
  "formation_energy_uncorrected_ev_per_atom": -0.442
}